Record 1
A relaxed PmHoBi2 crystal, computed with PBE.

Results
Total moment   0.0 μB/f.u.
ΔH_f (0 K)   -0.675 eV per atom
Energy above the lowest structure with this stoichiometry   0.85 eV per formula unit

abc: 4.178 4.178 6.810
angles: 90.00 90.00 90.00
Element x y z (fractional)
Ho: 0.500 0.500 0.500
Bi: 0.000 0.000 0.746
Bi: 0.000 0.000 0.254
Pm: 0.500 0.500 0.000

***

Record 2
A relaxed Er2Zn12GaCu3 crystal, computed with PBE.

Results
Total moment   0.0 μB/f.u.
ΔH_f (0 K)   -0.011 eV per atom

abc: 12.257 12.257 12.257
angles: 26.10 26.10 26.10
Element x y z (fractional)
Zn: 0.599 0.116 0.116
Ga: 0.000 0.000 0.000
Cu: 0.000 0.000 0.500
Cu: 0.500 0.000 0.000
Er: 0.642 0.642 0.642
Er: 0.358 0.358 0.358
Zn: 0.398 0.864 0.398
Zn: 0.884 0.884 0.401
Zn: 0.398 0.398 0.864
Zn: 0.136 0.602 0.602
Zn: 0.116 0.599 0.116
Zn: 0.864 0.398 0.398
Zn: 0.116 0.116 0.599
Zn: 0.401 0.884 0.884
Cu: 0.000 0.500 0.000
Zn: 0.602 0.602 0.136
Zn: 0.884 0.401 0.884
Zn: 0.602 0.136 0.602